(1)
# FeP3O

FeP3O at its PBEsol-relaxed geometry (SCAN, Alexandria via LeMat-Bulk).

Formation energy from raw total energies (eV/atom): 0.727
N(E_F) (states/eV/cell): 3.634
Total magnetic moment (Bohr magnetons per cell): 2.8
Space group: Pm-3m, No. 221

Geometry as extended XYZ:
```
5
Lattice="3.983 0.000 0.000 0.000 3.983 0.000 0.000 0.000 3.983" Properties=species:S:1:pos:R:3 pbc="T T T"
P 0.000 1.991 0.000
P 0.000 0.000 1.991
O 0.000 0.000 0.000
Fe 1.991 1.991 1.991
P 1.991 0.000 0.000
```


(2)
# Ba5Ir

Ba5Ir at its PBEsol-relaxed geometry (SCAN, Alexandria via LeMat-Bulk).

N(E_F) (states/eV/cell): 6.140
Total magnetic moment (Bohr magnetons per cell): 0.0
Space group: Cmmm, No. 65
Total DFT energy (no corrections) (eV per cell): -267.986

Geometry as extended XYZ:
```
6
Lattice="-0.364 -4.362 0.656 3.779 -1.053 -4.904 7.736 2.417 5.443" Properties=species:S:1:pos:R:3 pbc="T T T"
Ba 1.652 0.052 1.262
Ba 1.890 -0.526 -2.452
Ba 6.959 -0.368 1.421
Ir -0.182 -2.181 0.328
Ba 5.719 -1.996 4.836
Ba 4.192 -2.630 -0.226
```


(3)
# Mg2Ge2Pd

Mg2Ge2Pd at its PBEsol-relaxed geometry (SCAN, Alexandria via LeMat-Bulk).

N(E_F) (states/eV/cell): 2.412
Total magnetic moment (Bohr magnetons per cell): 0.0
Space group: P4/mbm, No. 127
Total DFT energy (no corrections) (eV per cell): -165.873

Geometry as extended XYZ:
```
10
Lattice="4.203 0.000 0.000 0.000 6.484 0.000 0.000 0.000 6.484" Properties=species:S:1:pos:R:3 pbc="T T T"
Ge 0.000 5.590 4.136
Pd 0.000 0.000 0.000
Mg 2.101 1.124 4.366
Mg 2.101 5.360 2.118
Pd 0.000 3.242 3.242
Ge 0.000 2.348 5.590
Ge 0.000 0.894 2.348
Mg 2.101 4.366 5.360
Mg 2.101 2.118 1.124
Ge 0.000 4.136 0.894
```


(4)
# MnCN2

MnCN2 at its PBEsol-relaxed geometry (SCAN, Alexandria via LeMat-Bulk).

Formation energy from raw total energies (eV/atom): -0.342
Total magnetic moment (Bohr magnetons per cell): 5.0
Space group: R-3m, No. 166

Geometry as extended XYZ:
```
4
Lattice="-2.951 -0.340 1.394 -2.600 -0.798 -1.836 -0.963 -5.002 0.604" Properties=species:S:1:pos:R:3 pbc="T T T"
C 0.000 0.000 0.000
N -5.321 -2.338 -0.247
N -1.193 -3.802 0.409
Mn -3.257 -3.070 0.081
```


(5)
# Er2W3O12

Er2W3O12 at its PBEsol-relaxed geometry (SCAN, Alexandria via LeMat-Bulk).

Formation energy from raw total energies (eV/atom): -2.835
N(E_F) (states/eV/cell): 0.000
Total magnetic moment (Bohr magnetons per cell): 0.0
Space group: C2/c, No. 15

Geometry as extended XYZ:
```
34
Lattice="6.713 0.025 0.020 -2.508 6.227 0.020 -2.052 -3.051 10.561" Properties=species:S:1:pos:R:3 pbc="T T T"
O -0.090 0.638 2.340
O 2.762 -0.288 5.947
W -2.816 3.111 7.940
O 2.291 -0.291 3.131
O 4.312 2.714 2.189
W 4.969 0.090 2.660
O -0.609 3.489 4.654
O 0.301 1.187 6.112
Er 3.806 3.200 4.345
W 1.574 0.163 4.728
O -1.867 3.023 9.496
O 4.530 0.936 4.216
O -0.282 3.975 0.667
O 2.435 -0.775 9.934
Er 1.650 -0.006 0.975
Er -1.654 0.001 6.255
O 2.104 4.078 5.765
W -1.468 -0.006 10.008
O 2.012 2.252 0.832
O -2.377 2.264 6.385
O -0.401 -1.368 7.620
O -1.857 -1.812 10.116
W 3.621 3.207 0.593
O 0.141 0.949 9.769
O 4.019 0.178 1.104
O -2.159 0.486 8.412
O 2.554 4.569 2.980
O 0.048 -0.878 4.836
O 4.010 5.012 0.484
O 2.243 2.562 8.261
W 0.579 3.037 5.873
Er 0.502 3.206 9.626
O 1.852 2.013 4.489
O -0.138 3.492 7.469
```


(6)
# ErH2ClO2

ErH2ClO2 at its PBEsol-relaxed geometry (SCAN, Alexandria via LeMat-Bulk).

N(E_F) (states/eV/cell): 0.000
Total magnetic moment (Bohr magnetons per cell): 0.0
Space group: P2_1/m, No. 11
Total DFT energy (no corrections) (eV per cell): -183.081

Geometry as extended XYZ:
```
12
Lattice="3.514 0.000 0.000 0.000 6.142 -0.017 0.000 -1.614 6.250" Properties=species:S:1:pos:R:3 pbc="T T T"
H 2.635 1.175 4.293
H 2.635 4.969 1.499
O 0.878 -0.819 5.645
Cl 2.635 3.823 3.547
O 2.635 5.347 0.588
H 0.878 3.353 1.940
O 2.635 1.467 5.234
H 0.878 -0.441 4.734
Er 2.635 1.540 0.663
Er 0.878 2.988 5.571
Cl 0.878 0.704 2.687
O 0.878 3.061 0.999
```


(7)
# Zn2SiTe

Zn2SiTe at its PBEsol-relaxed geometry (SCAN, Alexandria via LeMat-Bulk).

Formation energy from raw total energies (eV/atom): 0.200
N(E_F) (states/eV/cell): 4.677
Total magnetic moment (Bohr magnetons per cell): 0.0
Space group: I-42d, No. 122

Geometry as extended XYZ:
```
8
Lattice="6.023 0.000 0.000 -3.011 6.089 0.027 0.000 2.955 5.248" Properties=species:S:1:pos:R:3 pbc="T T T"
Zn 1.506 1.987 0.832
Te 3.011 5.261 3.949
Si 0.000 3.783 1.325
Zn -1.312 7.153 4.612
Zn 1.312 5.675 1.988
Si 3.011 1.478 2.624
Te 0.000 0.000 0.000
Zn 4.517 3.274 3.118
```


(8)
# ScIn3W

ScIn3W at its PBEsol-relaxed geometry (SCAN, Alexandria via LeMat-Bulk).

N(E_F) (states/eV/cell): 4.120
Total magnetic moment (Bohr magnetons per cell): 2.4
Space group: Pm-3m, No. 221
Total DFT energy (no corrections) (eV per cell): -175.771

Geometry as extended XYZ:
```
5
Lattice="-3.099 -3.204 -2.765 3.883 -0.790 -3.437 1.683 -4.077 2.839" Properties=species:S:1:pos:R:3 pbc="T T T"
Sc 0.000 0.000 0.000
In 1.942 -0.395 -1.719
In 0.842 -2.039 1.419
In -1.550 -1.602 -1.382
W 1.234 -4.036 -1.682
```


(9)
# LaFeAs

LaFeAs at its PBEsol-relaxed geometry (SCAN, Alexandria via LeMat-Bulk).

N(E_F) (states/eV/cell): 1.094
Total magnetic moment (Bohr magnetons per cell): 2.2
Space group: F-43m, No. 216
Total DFT energy (no corrections) (eV per cell): -82.647

Geometry as extended XYZ:
```
3
Lattice="4.601 0.000 0.000 2.300 3.985 0.000 2.300 1.328 3.757" Properties=species:S:1:pos:R:3 pbc="T T T"
La 4.601 2.656 1.878
Fe 0.000 0.000 0.000
As 2.300 1.328 0.939
```


(10)
# Mn2IrSe

Mn2IrSe at its PBEsol-relaxed geometry (SCAN, Alexandria via LeMat-Bulk).

Formation energy from raw total energies (eV/atom): -0.151
N(E_F) (states/eV/cell): 2.807
Total magnetic moment (Bohr magnetons per cell): 7.3
Space group: Cmmm, No. 65

Geometry as extended XYZ:
```
4
Lattice="2.965 0.000 0.000 0.000 4.419 -0.031 0.000 -1.267 4.234" Properties=species:S:1:pos:R:3 pbc="T T T"
Mn 0.000 2.209 -0.015
Ir 1.483 1.576 2.101
Se 1.483 0.000 0.000
Mn 0.000 -0.633 2.117
```


(11)
# Na14Mn2O9

Na14Mn2O9 at its PBEsol-relaxed geometry (SCAN, Alexandria via LeMat-Bulk).

Formation energy from raw total energies (eV/atom): -1.509
N(E_F) (states/eV/cell): 3.064
Total magnetic moment (Bohr magnetons per cell): 10.0
Space group: P-3, No. 147

Geometry as extended XYZ:
```
25
Lattice="6.632 0.000 0.000 -3.316 5.743 0.000 0.000 0.000 9.274" Properties=species:S:1:pos:R:3 pbc="T T T"
O -1.926 3.997 3.123
Na 2.519 3.570 3.783
Na 4.252 3.668 0.848
Na 1.986 3.895 8.427
O 5.242 1.746 6.151
Na 0.797 2.174 5.491
Na 4.366 0.227 0.848
O 1.109 5.413 3.123
Na 1.329 1.848 0.848
Na -1.051 5.516 8.427
Na -0.936 2.075 8.427
O 2.207 0.330 6.151
Na 0.000 0.000 2.332
O 0.000 0.000 0.000
O 2.498 3.667 6.151
O 0.818 2.077 3.123
Na 0.000 0.000 6.942
O 0.000 3.829 0.404
Na 2.281 0.396 3.783
Na -1.832 3.966 5.491
Mn 0.000 3.829 2.449
Na 1.035 5.347 5.491
Na 5.148 1.777 3.783
O 3.316 1.914 8.871
Mn 3.316 1.914 6.825
```


(12)
# ZrTa2Tc

ZrTa2Tc at its PBEsol-relaxed geometry (SCAN, Alexandria via LeMat-Bulk).

N(E_F) (states/eV/cell): 3.071
Total magnetic moment (Bohr magnetons per cell): 0.0
Space group: Immm, No. 71
Total DFT energy (no corrections) (eV per cell): -199.990

Geometry as extended XYZ:
```
4
Lattice="3.215 0.000 0.000 0.000 4.615 0.000 -1.607 -2.307 4.705" Properties=species:S:1:pos:R:3 pbc="T T T"
Ta 0.000 0.000 2.201
Ta 1.607 2.307 2.504
Zr 0.000 2.307 0.000
Tc 1.607 0.000 0.000
```


(13)
# P2PbCl

P2PbCl at its PBEsol-relaxed geometry (SCAN, Alexandria via LeMat-Bulk).

Formation energy from raw total energies (eV/atom): 0.158
N(E_F) (states/eV/cell): 2.416
Total magnetic moment (Bohr magnetons per cell): 0.0
Space group: P4/mmm, No. 123

Geometry as extended XYZ:
```
4
Lattice="-2.467 2.942 1.695 -2.110 0.312 -3.614 -3.647 -4.082 1.777" Properties=species:S:1:pos:R:3 pbc="T T T"
Pb -2.288 1.627 -0.960
P -2.999 -3.356 1.461
P -0.648 -0.726 0.316
Cl -4.112 -0.414 -0.071
```


(14)
# MnFeAu2

MnFeAu2 at its PBEsol-relaxed geometry (SCAN, Alexandria via LeMat-Bulk).

N(E_F) (states/eV/cell): 2.458
Total magnetic moment (Bohr magnetons per cell): 7.2
Space group: R-3m, No. 166
Total DFT energy (no corrections) (eV per cell): -174.782

Geometry as extended XYZ:
```
4
Lattice="-1.700 -2.205 0.276 -0.541 -1.040 2.541 -7.658 4.339 1.687" Properties=species:S:1:pos:R:3 pbc="T T T"
Fe -4.949 0.547 2.252
Mn 0.000 0.000 0.000
Au -2.489 0.285 1.128
Au -7.409 0.808 3.377
```


(15)
# TbNiC2

TbNiC2 at its PBEsol-relaxed geometry (SCAN, Alexandria via LeMat-Bulk).

N(E_F) (states/eV/cell): 0.961
Total magnetic moment (Bohr magnetons per cell): 0.0
Space group: Amm2, No. 38
Total DFT energy (no corrections) (eV per cell): -84.797

Geometry as extended XYZ:
```
4
Lattice="-2.015 -3.088 -0.481 2.180 -0.653 2.941 -2.521 1.309 2.160" Properties=species:S:1:pos:R:3 pbc="T T T"
C -2.041 -1.128 1.249
Tb -2.014 -3.087 -0.480
Ni -0.712 -0.945 2.690
C -1.991 -2.276 2.004
```


(16)
# SrIn2Hg

SrIn2Hg at its PBEsol-relaxed geometry (SCAN, Alexandria via LeMat-Bulk).

N(E_F) (states/eV/cell): 1.438
Total magnetic moment (Bohr magnetons per cell): 0.0
Space group: P4mm, No. 99
Total DFT energy (no corrections) (eV per cell): -158.740

Geometry as extended XYZ:
```
4
Lattice="3.793 0.000 0.000 0.000 3.793 0.000 0.000 0.000 7.468" Properties=species:S:1:pos:R:3 pbc="T T T"
Sr 0.000 0.000 3.828
Hg 1.896 1.896 5.799
In 1.896 1.896 1.606
In 0.000 0.000 7.437
```


(17)
# Sc3RuN

Sc3RuN at its PBEsol-relaxed geometry (SCAN, Alexandria via LeMat-Bulk).

Formation energy from raw total energies (eV/atom): 0.745
N(E_F) (states/eV/cell): 5.902
Total magnetic moment (Bohr magnetons per cell): 0.0
Space group: Pm-3m, No. 221

Geometry as extended XYZ:
```
5
Lattice="4.821 0.000 0.000 0.000 4.821 0.000 0.000 0.000 4.821" Properties=species:S:1:pos:R:3 pbc="T T T"
Ru 0.000 0.000 0.000
Sc 2.411 0.000 0.000
Sc 0.000 0.000 2.411
N 2.411 2.411 2.411
Sc 0.000 2.411 0.000
```


(18)
# TlTe3

TlTe3 at its PBEsol-relaxed geometry (SCAN, Alexandria via LeMat-Bulk).

Formation energy from raw total energies (eV/atom): -0.016
N(E_F) (states/eV/cell): 1.709
Total magnetic moment (Bohr magnetons per cell): 0.0
Space group: Immm, No. 71

Geometry as extended XYZ:
```
4
Lattice="4.115 0.000 0.000 0.000 5.742 0.000 -2.057 -2.871 5.144" Properties=species:S:1:pos:R:3 pbc="T T T"
Te 2.057 0.000 0.000
Tl 0.000 2.871 0.000
Te 0.000 0.000 2.177
Te 2.057 2.871 2.967
```


(19)
# TiSbRu

TiSbRu at its PBEsol-relaxed geometry (SCAN, Alexandria via LeMat-Bulk).

Formation energy from raw total energies (eV/atom): -0.607
N(E_F) (states/eV/cell): 4.715
Total magnetic moment (Bohr magnetons per cell): 0.0
Space group: F-43m, No. 216

Geometry as extended XYZ:
```
3
Lattice="-0.021 -4.300 -0.032 3.365 -2.155 -1.588 2.596 -2.183 2.643" Properties=species:S:1:pos:R:3 pbc="T T T"
Ru 4.455 -6.478 0.768
Sb 2.970 -4.319 0.512
Ti 0.000 0.000 0.000
```


(20)
# NaTmGeO4

NaTmGeO4 at its PBEsol-relaxed geometry (SCAN, Alexandria via LeMat-Bulk).

Formation energy from raw total energies (eV/atom): -2.728
N(E_F) (states/eV/cell): 0.000
Total magnetic moment (Bohr magnetons per cell): 0.0
Space group: Pnma, No. 62

Geometry as extended XYZ:
```
28
Lattice="-2.665 -2.820 3.521 -2.484 -3.482 -4.670 8.649 -7.208 0.774" Properties=species:S:1:pos:R:3 pbc="T T T"
O 2.421 -5.071 0.347
Na -2.575 -3.151 -0.575
O -1.473 -7.673 -1.742
Tm 3.040 -9.256 -1.155
O -1.573 -3.715 1.460
Ge 3.359 -6.451 0.877
Tm 0.461 -4.254 0.780
Tm -2.577 -7.019 0.164
O -0.428 -6.208 0.223
Ge 0.095 -1.724 -0.912
O 0.874 -1.996 0.684
O 3.929 -7.303 -0.598
O 2.627 -11.515 -1.058
O 4.974 -5.838 1.367
Na -1.333 -1.410 1.760
Tm 6.077 -6.491 -0.539
Ge 0.142 -7.059 -1.252
Na 4.325 -3.604 0.387
O 1.079 -8.439 -0.722
O 0.900 -6.031 -2.422
O 7.174 -8.222 0.168
O 2.600 -7.480 2.048
Ge 3.405 -11.786 0.537
O 3.672 -10.049 0.907
O -3.674 -5.288 -0.543
O -0.172 -3.461 -1.281
Na 3.083 -5.345 -1.948
O 5.073 -9.796 -1.834
```